A geometry-optimized ScVCl2 structure, computed with PBE-GGA.

abc: 4.5262 4.5262 4.5262
angles: 60.00 60.00 60.00
Closest atoms and distances in Å follow each position.
Fractional positions:
Sc: 0.0000 0.0000 0.0000  8 Cl 2.77
V: 0.5000 0.5000 0.5000  8 Cl 2.77
Cl: 0.2500 0.2500 0.2500  4 Sc 2.77, 4 V 2.77
Cl: 0.7500 0.7500 0.7500  4 Sc 2.77, 4 V 2.77

E_form (uncorrected): -1.25 eV/f.u.
total magnetic moment: 2.29 μB/cell
E_tot: -5.098 eV/atom
crystal system: cubic

A geometry-optimized Sc2VCl structure, computed with PBE-GGA.

abc: 4.8776 4.8776 4.8776
angles: 60.00 60.00 60.00
Closest atoms and distances in Å follow each position.
Fractional positions:
Sc: 0.2500 0.2500 0.2500  4 Cl 2.99, 4 V 2.99
Sc: 0.7500 0.7500 0.7500  4 Cl 2.99, 4 V 2.99
V: 0.0000 0.0000 0.0000  8 Sc 2.99
Cl: 0.5000 0.5000 0.5000  8 Sc 2.99

E_form (uncorrected): 0.98 eV/f.u.
total magnetic moment: 3.68 μB/cell
E_tot: -5.662 eV/atom
crystal system: cubic

A geometry-optimized Sc2VCl structure, computed with PBE-GGA.

abc: 6.0810 6.0810 6.0810
angles: 103.46 103.46 122.30
Closest atoms and distances in Å follow each position.
Fractional positions:
Sc: 0.0676 0.6250 0.9426  2 Cl 2.49
Sc: 0.3750 0.3176 0.4426  2 Cl 2.49
Sc: 0.6824 0.1250 0.0574  2 Cl 2.49
Sc: 0.8750 0.9324 0.5574  2 Cl 2.49
V: 0.2500 0.7500 0.5000  2 Cl 2.93, 8 Sc 3.07-3.24
V: 0.5000 0.5000 0.0000  2 Cl 2.93, 8 Sc 3.07-3.24
Cl: 0.0000 0.0000 0.0000  4 Sc 2.49
Cl: 0.7500 0.2500 0.5000  4 Sc 2.49

E_form (uncorrected): 0.25 eV/f.u.
total magnetic moment: 4.65 μB/cell
E_tot: -5.844 eV/atom
crystal system: tetragonal